# 1
Compound: HfTaMo2
Source: Alexandria via LeMat-Bulk
Functional: GGA-PBEsol
Structure: optimized geometry

a b c (Å): 6.463 6.463 6.463
angles (deg): 90.00 90.00 90.00
Space group Fm-3m (No. 225)
Unique sites:
1 Hf 0.000 0.000 0.000 x4
2 Ta 0.000 0.000 0.500 x4
3 Mo 0.250 0.250 0.250 x8

uncorrected energy = -11.7302 eV/atom
size of the total moment = 0.00 μB/f.u.
formation energy = -83 meV/atom
DOS at the Fermi energy = 19.14 states/eV per cell
calculated volume = 269.9 Å³/cell


# 2
Compound: CoBiOF2
Source: Alexandria via LeMat-Bulk
Functional: GGA-PBEsol
Structure: optimized geometry

a b c (Å): 3.580 3.580 5.567
angles (deg): 90.00 90.00 90.00
Space group P4/mmm (No. 123)
Unique sites:
1 Co 0.000 0.000 0.000 x1
2 Bi 0.000 0.000 0.500 x1
3 O 0.500 0.500 0.500 x1
4 F 0.000 0.500 0.000 x2

uncorrected energy = -5.3249 eV/atom
size of the total moment = 1.41 μB/f.u.
raw formation energy = -106.1 kJ per mole of atoms
DOS at the Fermi energy = 3.40 states/eV per cell
calculated volume = 71.3 Å³/cell


# 3
Compound: BeAl2As
Source: Alexandria via LeMat-Bulk
Functional: GGA-PBEsol
Structure: optimized geometry

a b c (Å): 2.8329 2.8329 26.1704
angles (deg): 90.00 90.00 120.00
Space group R-3m (No. 166, hexagonal axes)
Unique sites:
1 Be 0.0000 0.0000 0.0000 x3
2 Al 0.0000 0.0000 0.2601 x6
3 As 0.0000 0.0000 0.5000 x3

uncorrected energy = -4.0664 eV/atom
size of the total moment = 0.00 μB/f.u.
offset from the most stable computed form = 0.34 eV per formula unit
formation energy = 256 meV/atom
DOS at the Fermi energy = 3.38 states/eV per cell
calculated volume = 181.9 Å³/cell